one) RuCS3 | PBE | relaxed

Cell: 4.582 4.582 4.582 Å, 90.00 90.00 90.00°
Fractional positions:
Ru: 0.000 0.000 0.000
C: 0.500 0.500 0.500
S: 0.000 0.000 0.500
S: 0.000 0.500 0.000
S: 0.500 0.000 0.000

Calculated values
As for the space group: Pm-3m, No. 221.

***

two) RuCS3 | PBE | relaxed

Cell: 3.995 3.995 3.995 Å, 90.00 90.00 90.00°
Fractional positions:
Ru: 0.000 0.000 0.000
C: 0.500 0.500 0.500
S: 0.000 0.500 0.500
S: 0.500 0.000 0.500
S: 0.500 0.500 0.000

Calculated values
As for the space group: Pm-3m, No. 221.

***

Stability order, top to bottom: two), one)

***

one) SbRu3C | PBE | relaxed

Cell: 4.855 4.855 4.855 Å, 90.00 90.00 90.00°
Fractional positions:
Sb: 0.000 0.000 0.000
Ru: 0.000 0.000 0.500
Ru: 0.000 0.500 0.000
Ru: 0.500 0.000 0.000
C: 0.500 0.500 0.500

Calculated values
As for the space group: Pm-3m, No. 221.

***

two) SbRu3C | PBE | relaxed

Cell: 4.112 4.112 4.112 Å, 90.00 90.00 90.00°
Fractional positions:
Sb: 0.000 0.000 0.000
Ru: 0.000 0.500 0.500
Ru: 0.500 0.000 0.500
Ru: 0.500 0.500 0.000
C: 0.500 0.500 0.500

Calculated values
As for the space group: Pm-3m, No. 221.

***

Stability order, top to bottom: two), one)

***

one) Sb2RuC2 | PBE | relaxed

Cell: 6.958 6.958 3.358 Å, 90.00 90.00 90.00°
Fractional positions:
Sb: 0.148 0.352 0.000
Sb: 0.352 0.852 0.000
Sb: 0.648 0.148 0.000
Sb: 0.852 0.648 0.000
Ru: 0.000 0.000 0.000
Ru: 0.500 0.500 0.000
C: 0.210 0.710 0.500
C: 0.290 0.210 0.500
C: 0.710 0.790 0.500
C: 0.790 0.290 0.500

Calculated values
As for the space group: P4/mbm, No. 127.

***

two) Sb2RuC2 | PBE | relaxed

Cell: 7.609 7.609 7.609 Å, 156.12 156.12 34.03°
Fractional positions:
Sb: 0.119 0.119 0.000
Sb: 0.881 0.881 0.000
Ru: 0.500 0.500 0.000
C: 0.250 0.750 0.500
C: 0.750 0.250 0.500

Calculated values
As for the space group: I4/mmm, No. 139.

***

Stability order, top to bottom: two), one)

***

one) Sb3RuC | PBE | relaxed

Cell: 5.089 5.089 5.089 Å, 90.00 90.00 90.00°
Fractional positions:
Sb: 0.000 0.000 0.500
Sb: 0.000 0.500 0.000
Sb: 0.500 0.000 0.000
Ru: 0.000 0.000 0.000
C: 0.500 0.500 0.500

Calculated values
As for the space group: Pm-3m, No. 221.

***

two) Sb3RuC | PBE | relaxed

Cell: 4.577 4.577 4.577 Å, 90.00 90.00 90.00°
Fractional positions:
Sb: 0.000 0.000 0.500
Sb: 0.000 0.500 0.000
Sb: 0.500 0.000 0.000
Ru: 0.500 0.500 0.500
C: 0.000 0.000 0.000

Calculated values
As for the space group: Pm-3m, No. 221.

***

Stability order, top to bottom: two), one)

***

one) SbTe2RuC | PBE | relaxed

Cell: 5.253 5.253 5.032 Å, 90.00 90.00 90.00°
Fractional positions:
Sb: 0.000 0.000 0.000
Te: 0.000 0.500 0.500
Te: 0.500 0.000 0.500
Ru: 0.000 0.000 0.500
C: 0.500 0.500 0.000

Calculated values
As for the space group: P4/mmm, No. 123.

***

two) SbTe2RuC | PBE | relaxed

Cell: 4.634 4.634 4.590 Å, 90.00 90.00 90.00°
Fractional positions:
Sb: 0.000 0.000 0.000
Te: 0.000 0.500 0.500
Te: 0.500 0.000 0.500
Ru: 0.500 0.500 0.000
C: 0.000 0.000 0.500

Calculated values
As for the space group: P4/mmm, No. 123.

***

Stability order, top to bottom: two), one)

***

one) ScRuC3 | PBE | relaxed

Cell: 3.945 3.945 3.945 Å, 90.00 90.00 90.00°
Fractional positions:
Sc: 0.000 0.000 0.000
Ru: 0.500 0.500 0.500
C: 0.000 0.500 0.500
C: 0.500 0.000 0.500
C: 0.500 0.500 0.000

Calculated values
As for the space group: Pm-3m, No. 221.

***

two) ScRuC3 | PBE | relaxed

Cell: 4.041 4.041 4.041 Å, 90.00 90.00 90.00°
Fractional positions:
Sc: 0.000 0.000 0.000
Ru: 0.500 0.500 0.500
C: 0.000 0.000 0.500
C: 0.000 0.500 0.000
C: 0.500 0.000 0.000

Calculated values
As for the space group: Pm-3m, No. 221.

***

Stability order, top to bottom: one), two)

***

one) ScRu3C | PBE | relaxed

Cell: 4.086 4.086 4.086 Å, 90.00 90.00 90.00°
Fractional positions:
Sc: 0.000 0.000 0.000
Ru: 0.000 0.500 0.500
Ru: 0.500 0.000 0.500
Ru: 0.500 0.500 0.000
C: 0.500 0.500 0.500

Calculated values
As for the space group: Pm-3m, No. 221.

***

two) ScRu3C | PBE | relaxed

Cell: 4.619 4.619 4.619 Å, 90.00 90.00 90.00°
Fractional positions:
Sc: 0.000 0.000 0.000
Ru: 0.000 0.000 0.500
Ru: 0.000 0.500 0.000
Ru: 0.500 0.000 0.000
C: 0.500 0.500 0.500

Calculated values
As for the space group: Pm-3m, No. 221.

***

Stability order, top to bottom: one), two)

***

one) Sc3RuC | PBE | relaxed

Cell: 4.429 4.429 4.429 Å, 90.00 90.00 90.00°
Fractional positions:
Sc: 0.000 0.000 0.500
Sc: 0.000 0.500 0.000
Sc: 0.500 0.000 0.000
Ru: 0.500 0.500 0.500
C: 0.000 0.000 0.000

Calculated values
As for the space group: Pm-3m, No. 221.

***

two) Sc3RuC | PBE | relaxed

Cell: 4.868 4.868 4.868 Å, 90.00 90.00 90.00°
Fractional positions:
Sc: 0.000 0.000 0.500
Sc: 0.000 0.500 0.000
Sc: 0.500 0.000 0.000
Ru: 0.000 0.000 0.000
C: 0.500 0.500 0.500

Calculated values
As for the space group: Pm-3m, No. 221.

***

Stability order, top to bottom: one), two)

***

one) RuC3Se | PBE | relaxed

Cell: 4.035 4.035 4.035 Å, 90.00 90.00 90.00°
Fractional positions:
Ru: 0.000 0.000 0.000
C: 0.000 0.000 0.500
C: 0.000 0.500 0.000
C: 0.500 0.000 0.000
Se: 0.500 0.500 0.500

Calculated values
As for the space group: Pm-3m, No. 221.

***

two) RuC3Se | PBE | relaxed

Cell: 3.825 3.825 3.825 Å, 90.00 90.00 90.00°
Fractional positions:
Ru: 0.000 0.000 0.000
C: 0.000 0.500 0.500
C: 0.500 0.000 0.500
C: 0.500 0.500 0.000
Se: 0.500 0.500 0.500

Calculated values
As for the space group: Pm-3m, No. 221.

***

Stability order, top to bottom: one), two)

***

one) Si3RuC | PBE | relaxed

Cell: 4.551 4.551 4.551 Å, 90.00 90.00 90.00°
Fractional positions:
Si: 0.000 0.000 0.500
Si: 0.000 0.500 0.000
Si: 0.500 0.000 0.000
Ru: 0.000 0.000 0.000
C: 0.500 0.500 0.500

Calculated values
As for the space group: Pm-3m, No. 221.

***

two) Si3RuC | PBE | relaxed

Cell: 3.928 3.928 3.928 Å, 90.00 90.00 90.00°
Fractional positions:
Si: 0.000 0.000 0.500
Si: 0.000 0.500 0.000
Si: 0.500 0.000 0.000
Ru: 0.500 0.500 0.500
C: 0.000 0.000 0.000

Calculated values
As for the space group: Pm-3m, No. 221.

***

Stability order, top to bottom: two), one)

***

one) Si2RuC | PBE | relaxed

Cell: 5.549 5.549 5.549 Å, 124.38 124.38 82.56°
Fractional positions:
Si: 0.056 0.625 0.931
Si: 0.375 0.306 0.431
Si: 0.694 0.125 0.069
Si: 0.875 0.944 0.569
Ru: 0.250 0.750 0.500
Ru: 0.500 0.500 0.000
C: 0.000 0.000 0.000
C: 0.750 0.250 0.500

Calculated values
As for the space group: I-42d, No. 122.

***

two) Si2RuC | PBE | relaxed

Cell: 4.086 4.086 4.086 Å, 60.00 60.00 60.00°
Fractional positions:
Si: 0.250 0.250 0.250
Si: 0.750 0.750 0.750
Ru: 0.000 0.000 0.000
C: 0.500 0.500 0.500

Calculated values
As for the space group: Fm-3m, No. 225.

***

Stability order, top to bottom: one), two)

***

one) SiRuC2 | PBE | relaxed

Cell: 3.743 3.743 3.743 Å, 60.00 60.00 60.00°
Fractional positions:
Si: 0.000 0.000 0.000
Ru: 0.500 0.500 0.500
C: 0.250 0.250 0.250
C: 0.750 0.750 0.750

Calculated values
As for the space group: Fm-3m, No. 225.

***

two) SiRuC2 | PBE | relaxed

Cell: 5.425 5.425 5.425 Å, 130.00 130.00 73.41°
Fractional positions:
Si: 0.000 0.000 0.000
Si: 0.750 0.250 0.500
Ru: 0.250 0.750 0.500
Ru: 0.500 0.500 0.000
C: 0.104 0.625 0.979
C: 0.375 0.354 0.479
C: 0.646 0.125 0.021
C: 0.875 0.896 0.521

Calculated values
As for the space group: I-42d, No. 122.

***

Stability order, top to bottom: two), one)

***

one) Sm2RuC2 | PBE | relaxed

Cell: 6.523 5.283 10.012 Å, 90.00 90.00 90.00°
Fractional positions:
Sm: 0.021 0.250 0.217
Sm: 0.187 0.250 0.551
Sm: 0.313 0.750 0.051
Sm: 0.479 0.750 0.717
Sm: 0.521 0.250 0.283
Sm: 0.687 0.250 0.949
Sm: 0.813 0.750 0.449
Sm: 0.979 0.750 0.783
Ru: 0.227 0.250 0.861
Ru: 0.273 0.750 0.361
Ru: 0.727 0.250 0.639
Ru: 0.773 0.750 0.139
C: 0.035 0.750 0.244
C: 0.181 0.750 0.546
C: 0.319 0.250 0.046
C: 0.465 0.250 0.744
C: 0.535 0.750 0.256
C: 0.681 0.750 0.954
C: 0.819 0.250 0.454
C: 0.965 0.250 0.756

Calculated values
As for the space group: Pnma, No. 62.

***

two) Sm2RuC2 | PBE | relaxed

Cell: 5.944 5.944 6.170 Å, 109.56 109.56 54.65°
Fractional positions:
Sm: 0.028 0.278 0.209
Sm: 0.278 0.028 0.709
Sm: 0.722 0.972 0.291
Sm: 0.972 0.722 0.791
Ru: 0.420 0.580 0.250
Ru: 0.580 0.420 0.750
C: 0.221 0.591 0.472
C: 0.409 0.779 0.028
C: 0.591 0.221 0.972
C: 0.779 0.409 0.528

Calculated values
As for the space group: C2/c, No. 15.

***

Stability order, top to bottom: one), two)